DFT (SCAN) results for a PBEsol-optimized structure of Sr2InCu. Values from VASP.

```
&SYSTEM
  ibrav = 0, nat = 4, ntyp = 3
/
ATOMIC_SPECIES
Sr 87.62 Sr.upf
Cu 63.55 Cu.upf
In 114.82 In.upf
CELL_PARAMETERS angstrom
-1.058 3.149 -3.191
-4.188 -2.096 -0.680
-0.237 4.386 4.407
ATOMIC_POSITIONS crystal
Sr 0.000 0.980 0.961
Sr 0.500 0.270 0.539
Cu 0.000 0.680 0.361
In 0.500 0.569 0.138
```

Values from the calculation:
The total energy comes out at -0.8653 hartree per atom. Its mass density is 4.68 g cm⁻³.